A plane-wave DFT calculation with PBE was carried out for a relaxed InSn2BiIr crystal.

Output
- DOS(E_F) (states/eV/atom) = 0.859
- final energy (eV for the cell shown) = -23.25
- energy of formation (kJ/mol of atoms) = 5
- magnetization (μB per cell) = 0.0

Cell lengths 5.1965, 5.1965, 5.2149 Å; angles 90.00, 90.00, 90.00 degrees
With the nearest neighbours (Å) after each atom.
Element x y z (fractional)
Sn: 0.5000 0.0000 0.0000  2 Ir 2.60
Sn: 0.0000 0.5000 0.0000  2 Ir 2.60
Bi: 0.5000 0.5000 0.5000  4 In 3.67, 8 Sn 3.68
Ir: 0.0000 0.0000 0.0000  4 Sn 2.60, 2 In 2.61
In: 0.0000 0.0000 0.5000  2 Ir 2.61



A plane-wave DFT calculation with PBE was carried out for a relaxed TaInBiIr2 crystal.

Output
- DOS(E_F) (states/eV/atom) = 0.802
- final energy (eV for the cell shown) = -30.70
- energy of formation (kJ/mol of atoms) = 106
- magnetization (μB per cell) = 0.0

Cell lengths 4.8617, 5.5011, 4.8617 Å; angles 90.00, 90.00, 90.00 degrees
With the nearest neighbours (Å) after each atom.
Element x y z (fractional)
Ir: 0.5000 0.0000 0.0000  2 Ta 2.43
Ir: 0.0000 0.0000 0.5000  2 Ta 2.43
Bi: 0.0000 0.5000 0.0000  2 Ta 2.75
Ta: 0.0000 0.0000 0.0000  4 Ir 2.43
In: 0.5000 0.5000 0.5000  4 Bi 3.44, 8 Ir 3.67



A plane-wave DFT calculation with PBE was carried out for a relaxed Ta2InBiIr crystal.

Output
- DOS(E_F) (states/eV/atom) = 1.185
- final energy (eV for the cell shown) = -29.89
- energy of formation (kJ/mol of atoms) = 179
- magnetization (μB per cell) = 2.1

Cell lengths 5.1675, 5.1675, 4.9300 Å; angles 90.00, 90.00, 90.00 degrees
With the nearest neighbours (Å) after each atom.
Element x y z (fractional)
In: 0.0000 0.0000 0.0000  2 Ir 2.47, 4 Ta 2.58
Ta: 0.0000 0.5000 0.0000  2 In 2.58
Ta: 0.5000 0.0000 0.0000  2 In 2.58
Bi: 0.5000 0.5000 0.5000  8 Ta 3.57, 4 Ir 3.65
Ir: 0.0000 0.0000 0.5000  2 In 2.47



> What is the formula in the first record?

InSn2BiIr



> Which of these has the highest magnetization?

Ta2InBiIr



> Which formula does entry 3 have?

Ta2InBiIr